[1]
DFT (GGA-PBE) results for an optimized crystal structure of Na3Rh2WS6.

Cell: 6.3512 6.3512 6.6878 Å, 99.11 99.11 119.97°
Closest atoms and distances in Å follow each position.
Sites, in units of the cell vectors:
Na 0.1668 0.8332 0.5000  6 S 2.84-2.89
Na 0.8332 0.1668 0.5000  6 S 2.84-2.89
Na 0.5000 0.5000 0.5000  6 S 2.84-2.89
Rh 0.3333 0.6667 0.0000  6 S 2.43-2.44
Rh 0.6667 0.3333 0.0000  6 S 2.43-2.44
W 0.0000 0.0000 0.0000  6 S 2.48-2.49
S 0.9352 0.5956 0.8056  2 Rh 2.43, 1 W 2.48
S 0.7254 0.7254 0.1949  2 Rh 2.44, 1 W 2.49
S 0.0648 0.4044 0.1944  2 Rh 2.43, 1 W 2.48
S 0.5956 0.9352 0.8056  2 Rh 2.43, 1 W 2.48
S 0.2746 0.2746 0.8051  2 Rh 2.44, 1 W 2.49
S 0.4044 0.0648 0.1944  2 Rh 2.43, 1 W 2.48

## Properties
* SG: C2/m, No. 12
* formation energy (no corrections): -0.657 eV/atom
* size of the total moment: 3.02 μB/f.u.
* calculated total energy: -5.355 eV per atom

---

[2]
DFT (GGA-PBE) results for an optimized crystal structure of V4MoOs2.

Cell: 4.4436 4.4436 6.9909 Å, 71.47 71.47 90.00°
Closest atoms and distances in Å follow each position.
Sites, in units of the cell vectors:
Mo 0.0000 0.0000 0.0000  4 V 2.22
Os 0.3848 0.3848 0.2305  1 V 2.32
Os 0.6152 0.6152 0.7695  1 V 2.32
V 0.1993 0.1993 0.6014  1 Os 2.32, 1 Mo 2.49
V 0.8007 0.8007 0.3986  1 Os 2.32, 1 Mo 2.49
V 0.0000 0.5000 0.0000  2 Mo 2.22
V 0.5000 0.0000 0.0000  2 Mo 2.22

## Properties
* E above lowest polymorph: 1105 meV per atom
* SG: I4/mmm, No. 139
* size of the total moment: 2.61 μB/f.u.
* energy relative to the elements: 773 kJ/mol of formula units
* calculated total energy: -8.822 eV per atom